This record from the Alexandria database describes a relaxed LiAlGa4 crystal. The functional is GGA-PBE.

Cell and atoms, written as POSCAR:
```
LiAlGa4
1.0
0.321 0.916 5.070
4.178 -5.904 0.802
2.610 6.254 -0.570
Ga Li Al
8 2 2
Cartesian
3.907 2.402 1.925 Ga
0.953 1.359 0.441 Ga
3.202 -1.135 3.377 Ga
3.623 -2.415 0.954 Ga
1.695 0.995 3.088 Ga
6.156 -0.092 4.862 Ga
3.486 3.682 4.349 Ga
5.414 0.272 2.215 Ga
1.466 3.585 2.250 Li
3.394 0.175 0.116 Li
3.374 -3.741 4.405 Al
1.125 -1.247 1.468 Al
```

Space group   C2/m, No. 12
ρ   4.85 g/cm3
M_tot   0.00 μB per formula unit
Total energy   -36.381 eV/cell

This record from the Alexandria database describes a relaxed LiSb2TeP crystal. The functional is GGA-PBE.

Cell and atoms, written as POSCAR:
```
LiSb2TeP
1.0
5.177 0.000 0.000
0.000 5.177 0.000
0.000 0.000 5.498
Sb Li Te P
2 1 1 1
Cartesian
0.000 2.588 0.000 Sb
2.588 0.000 0.000 Sb
2.588 2.588 2.749 Li
0.000 0.000 2.749 Te
0.000 0.000 0.000 P
```

Space group   P4/mmm, No. 123
ρ   4.61 g/cm3
Polymorph energy (0 for the lowest one)   0.0000 eV per atom
M_tot   0.00 μB per formula unit
Total energy   -16.987 eV/cell

This record from the Alexandria database describes a relaxed BaMg2Mo crystal. The functional is GGA-PBE.

Cell and atoms, written as POSCAR:
```
BaMg2Mo
1.0
11.439 0.008 0.005
10.997 3.149 0.005
10.997 1.547 2.742
Mg Mo Ba
2 1 1
Cartesian
33.116 4.660 2.726 Mg
8.107 1.141 0.667 Mg
17.029 2.396 1.402 Mo
25.331 3.564 2.085 Ba
```

Space group   R3m, No. 160
ρ   4.76 g/cm3
Polymorph energy (0 for the lowest one)   0.2042 eV per atom
M_tot   0.00 μB per formula unit
Total energy   -13.036 eV/cell

This record from the Alexandria database describes a relaxed Sm2PuAg crystal. The functional is GGA-PBE.

Cell and atoms, written as POSCAR:
```
Sm2PuAg
1.0
3.607 0.000 0.000
0.000 3.607 0.000
0.000 0.000 8.607
Sm Ag Pu
2 1 1
Cartesian
0.000 0.000 6.687 Sm
0.000 0.000 1.920 Sm
1.803 1.803 0.000 Ag
1.803 1.803 4.303 Pu
```

Space group   P4/mmm, No. 123
ρ   9.68 g/cm3
Polymorph energy (0 for the lowest one)   0.0000 eV per atom
M_tot   6.36 μB per formula unit
Total energy   -26.687 eV/cell

This record from the Alexandria database describes a relaxed Pm3PrSb2 crystal. The functional is GGA-PBE.

Cell and atoms, written as POSCAR:
```
Pm3PrSb2
1.0
4.463 0.000 0.000
-2.232 10.327 -0.670
0.000 -5.216 8.536
Sb Pm Pr
4 6 2
Cartesian
2.232 -0.704 1.459 Sb
2.232 4.073 1.597 Sb
0.000 5.814 6.407 Sb
0.000 1.037 6.269 Sb
0.000 -1.123 3.633 Pm
2.232 -1.244 6.820 Pm
2.232 1.350 3.897 Pm
0.000 6.354 1.045 Pm
2.232 6.233 4.232 Pm
0.000 3.761 3.968 Pm
2.232 3.333 7.145 Pr
0.000 1.777 0.720 Pr
```

Space group   C2/m, No. 12
ρ   7.20 g/cm3
Polymorph energy (0 for the lowest one)   0.0816 eV per atom
M_tot   0.00 μB per formula unit
Total energy   -63.386 eV/cell

This record from the Alexandria database describes a relaxed Mg2Cd8Sn crystal. The functional is GGA-PBE.

Cell and atoms, written as POSCAR:
```
Mg2Cd8Sn
1.0
-7.024 -0.717 0.707
0.214 -5.123 -3.074
5.917 -0.081 6.361
Cd Sn Mg
8 1 2
Cartesian
3.447 -3.573 3.363 Cd
0.027 -3.307 -0.300 Cd
-4.235 -4.845 -0.867 Cd
1.241 -1.551 2.672 Cd
3.342 -1.077 4.861 Cd
-2.134 -4.370 1.322 Cd
-0.920 -2.615 4.294 Cd
-4.339 -2.348 0.631 Cd
0.000 0.000 0.000 Sn
0.976 -4.698 2.085 Mg
-1.868 -1.223 1.909 Mg
```

Space group   C2/m, No. 12
ρ   6.66 g/cm3
Polymorph energy (0 for the lowest one)   0.0000 eV per atom
M_tot   0.00 μB per formula unit
Total energy   -14.327 eV/cell

This record from the Alexandria database describes a relaxed NdI2O6 crystal. The functional is GGA-PBE.

Cell and atoms, written as POSCAR:
```
NdI2O6
1.0
6.231 -0.220 -0.213
1.554 7.553 -1.195
1.554 -0.949 7.588
O I Nd
12 4 2
Cartesian
4.079 1.891 6.458 O
4.050 1.589 3.328 O
3.469 5.272 5.939 O
7.194 6.406 1.574 O
2.175 3.116 4.807 O
2.145 -0.022 4.606 O
6.584 5.997 4.970 O
5.871 1.112 0.241 O
5.261 4.493 -0.277 O
5.290 4.795 2.852 O
2.756 0.387 1.210 O
7.165 3.268 1.374 O
5.426 3.004 0.859 I
7.029 5.317 3.099 I
3.914 3.380 5.321 I
2.310 1.066 3.081 I
6.228 6.609 -0.549 Nd
3.112 -0.225 6.730 Nd
```

Space group   C2/c, No. 15
ρ   4.61 g/cm3
Polymorph energy (0 for the lowest one)   0.0032 eV per atom
M_tot   0.33 μB per formula unit
Total energy   -93.303 eV/cell

This record from the Alexandria database describes a relaxed ZnHg2Br crystal. The functional is GGA-PBE.

Cell and atoms, written as POSCAR:
```
ZnHg2Br
1.0
-1.954 2.362 -2.606
-1.216 -1.440 -3.555
-7.606 -1.751 1.097
Br Hg Zn
1 2 1
Cartesian
-8.082 -0.621 -3.799 Br
-3.385 0.857 -6.066 Hg
-5.173 -0.348 -2.628 Hg
-2.694 -0.207 -1.266 Zn
```

Space group   C2/m, No. 12
ρ   8.62 g/cm3
Polymorph energy (0 for the lowest one)   0.0623 eV per atom
M_tot   0.00 μB per formula unit
Total energy   -4.042 eV/cell

This record from the Alexandria database describes a relaxed Mn3NiI9 crystal. The functional is GGA-PBE.

Cell and atoms, written as POSCAR:
```
Mn3NiI9
1.0
9.209 0.000 3.875
4.174 9.663 2.960
0.238 -0.140 12.315
Mn I Ni
6 18 2
Cartesian
4.023 4.200 6.246 Mn
6.329 2.257 11.906 Mn
4.137 8.962 13.004 Mn
9.946 5.384 13.179 Mn
7.450 7.158 6.871 Mn
9.045 0.622 6.091 Mn
6.202 8.703 5.018 I
8.747 7.752 13.064 I
8.526 3.802 11.502 I
4.501 2.687 13.752 I
6.652 4.615 6.390 I
9.876 7.027 5.841 I
3.259 5.578 4.165 I
10.452 4.162 15.459 I
4.489 6.369 12.865 I
5.369 2.125 9.451 I
3.876 1.607 5.898 I
3.264 5.668 8.348 I
11.236 9.063 10.283 I
9.966 2.990 6.867 I
7.407 7.588 9.469 I
1.985 0.676 9.134 I
11.406 9.377 15.100 I
7.962 0.906 3.616 I
2.338 4.870 1.661 Ni
4.419 -0.032 8.042 Ni
```

Space group   Cc, No. 9
ρ   4.17 g/cm3
M_tot   11.96 μB per formula unit
Total energy   -100.605 eV/cell

This record from the Alexandria database describes a relaxed LiThGa2 crystal. The functional is GGA-PBE.

Cell and atoms, written as POSCAR:
```
LiThGa2
1.0
-2.124 -2.505 2.684
3.232 -2.802 -0.056
2.154 5.612 6.942
Li Ga Th
2 4 2
Cartesian
2.415 -0.541 3.082 Li
0.847 0.847 6.487 Li
1.886 2.008 8.394 Ga
1.916 -1.164 5.457 Ga
1.376 -1.702 1.176 Ga
1.346 1.470 4.112 Ga
-0.818 -1.013 3.433 Th
4.081 1.319 6.136 Th
```

Space group   Cmcm, No. 63
ρ   7.76 g/cm3
Polymorph energy (0 for the lowest one)   0.0098 eV per atom
M_tot   0.00 μB per formula unit
Total energy   -34.292 eV/cell

This record from the Alexandria database describes a relaxed K2Ag3Ge crystal. The functional is GGA-PBE.

Cell and atoms, written as POSCAR:
```
K2Ag3Ge
1.0
5.741 0.000 0.000
0.000 6.352 0.000
0.000 0.000 8.793
Ag K Ge
6 4 2
Cartesian
4.306 1.432 2.015 Ag
1.435 4.920 6.778 Ag
0.000 0.000 0.000 Ag
1.435 1.432 6.778 Ag
4.306 4.920 2.015 Ag
2.871 0.000 0.000 Ag
1.435 0.000 3.355 K
4.306 0.000 5.437 K
4.306 3.176 7.492 K
1.435 3.176 1.300 K
4.306 3.176 3.924 Ge
1.435 3.176 4.868 Ge
```

Space group   Pmma, No. 51
ρ   4.91 g/cm3
M_tot   0.00 μB per formula unit
Total energy   -31.017 eV/cell

This record from the Alexandria database describes a relaxed Tm3GaHg crystal. The functional is GGA-PBE.

Cell and atoms, written as POSCAR:
```
Tm3GaHg
1.0
-5.896 -2.308 1.029
2.273 1.281 9.358
-1.407 8.507 4.476
Tm Ga Hg
12 4 4
Cartesian
0.868 7.865 11.756 Tm
-0.560 7.197 6.594 Tm
-2.389 7.317 11.861 Tm
-3.319 4.966 5.371 Tm
-1.711 2.515 9.492 Tm
0.402 5.413 9.620 Tm
-2.641 0.163 3.002 Tm
-5.432 2.067 5.243 Tm
-4.471 0.283 8.269 Tm
-1.718 1.716 5.745 Tm
-3.312 5.764 9.117 Tm
-5.898 -0.384 3.106 Tm
-1.115 8.147 9.346 Ga
-2.639 4.196 11.751 Ga
-3.915 -0.667 5.516 Ga
-2.391 3.285 3.112 Ga
-1.031 4.298 7.187 Hg
-5.824 6.767 5.254 Hg
0.794 0.713 9.609 Hg
-3.999 3.182 7.676 Hg
```

Space group   C2/c, No. 15
ρ   10.10 g/cm3
M_tot   0.00 μB per formula unit
Total energy   -73.577 eV/cell

This record from the Alexandria database describes a relaxed NaMnPt crystal. The functional is GGA-PBE.

Cell and atoms, written as POSCAR:
```
NaMnPt
1.0
4.237 0.000 0.000
0.000 7.270 0.000
2.118 3.635 3.375
Na Pt Mn
2 2 2
Cartesian
2.118 7.270 1.179 Na
2.118 3.635 2.506 Na
4.237 2.306 0.877 Pt
4.237 4.965 0.877 Pt
4.237 8.252 2.984 Mn
4.237 6.288 2.984 Mn
```

Space group   Imm2, No. 44
ρ   8.72 g/cm3
Polymorph energy (0 for the lowest one)   0.2499 eV per atom
M_tot   1.12 μB per formula unit
Total energy   -32.050 eV/cell

This record from the Alexandria database describes a relaxed Tc2NiRu crystal. The functional is GGA-PBE.

Cell and atoms, written as POSCAR:
```
Tc2NiRu
1.0
-1.752 -2.638 3.464
3.409 -1.866 2.632
-0.890 4.368 -1.468
Tc Ni Ru
2 1 1
Cartesian
0.829 -2.252 3.048 Tc
0.000 0.000 0.000 Tc
1.674 0.125 2.106 Ni
-0.907 -0.261 2.522 Ru
```

Space group   I4/mmm, No. 139
ρ   10.91 g/cm3
Polymorph energy (0 for the lowest one)   0.1156 eV per atom
M_tot   0.00 μB per formula unit
Total energy   -35.520 eV/cell

This record from the Alexandria database describes a relaxed Li2SbBr crystal. The functional is GGA-PBE.

Cell and atoms, written as POSCAR:
```
Li2SbBr
1.0
8.179 0.016 -0.004
6.771 4.588 0.004
-7.473 -2.308 2.392
Li Sb Br
2 1 1
Cartesian
4.545 0.145 1.194 Li
1.052 0.324 0.000 Li
6.677 2.056 0.000 Sb
2.679 2.073 1.198 Br
```

Space group   Imm2, No. 44
ρ   4.00 g/cm3
Polymorph energy (0 for the lowest one)   0.0422 eV per atom
M_tot   0.00 μB per formula unit
Total energy   -12.942 eV/cell

This record from the Alexandria database describes a relaxed Ba2CaCd3 crystal. The functional is GGA-PBE.

Cell and atoms, written as POSCAR:
```
Ba2CaCd3
1.0
-0.530 5.736 -1.140
-9.021 2.098 -0.375
0.038 1.590 7.991
Ca Cd Ba
2 6 4
Cartesian
-6.368 5.222 -1.010 Ca
-3.184 2.611 -0.505 Ca
-3.538 6.710 5.165 Cd
-0.256 3.237 1.286 Cd
-3.560 5.818 0.681 Cd
-0.236 4.089 5.565 Cd
-5.975 2.714 1.311 Cd
-5.954 3.606 5.795 Cd
0.000 0.000 0.000 Ba
-6.373 6.015 2.986 Ba
0.019 0.795 3.995 Ba
-3.141 3.408 3.490 Ba
```

Space group   Cmmm, No. 65
ρ   5.15 g/cm3
Polymorph energy (0 for the lowest one)   0.0067 eV per atom
M_tot   0.00 μB per formula unit
Total energy   -20.950 eV/cell

This record from the Alexandria database describes a relaxed K3Os crystal. The functional is GGA-PBE.

Cell and atoms, written as POSCAR:
```
K3Os
1.0
-4.870 -2.220 -2.854
-3.620 -4.567 -1.680
-4.298 0.644 5.863
K Os
3 1
Cartesian
-9.664 -4.487 1.315 K
-6.394 -3.072 0.664 K
-3.124 -1.657 0.014 K
0.000 0.000 0.000 Os
```

Space group   C2/m, No. 12
ρ   4.10 g/cm3
Polymorph energy (0 for the lowest one)   0.0223 eV per atom
M_tot   0.77 μB per formula unit
Total energy   -9.497 eV/cell

This record from the Alexandria database describes a relaxed Tl2TcS crystal. The functional is GGA-PBE.

Cell and atoms, written as POSCAR:
```
Tl2TcS
1.0
0.000 3.565 3.565
3.565 0.000 3.565
3.565 3.565 0.000
Tl S Tc
2 1 1
Cartesian
1.783 1.783 1.783 Tl
5.348 5.348 5.348 Tl
0.000 0.000 0.000 S
3.565 3.565 3.565 Tc
```

Space group   Fm-3m, No. 225
ρ   9.87 g/cm3
Polymorph energy (0 for the lowest one)   0.1554 eV per atom
M_tot   2.90 μB per formula unit
Total energy   -15.617 eV/cell

This record from the Alexandria database describes a relaxed K2BaZr crystal. The functional is GGA-PBE.

Cell and atoms, written as POSCAR:
```
K2BaZr
1.0
6.523 0.000 0.000
3.262 5.649 0.000
3.262 1.883 5.326
K Zr Ba
2 1 1
Cartesian
3.262 1.883 1.332 K
0.000 0.000 0.000 K
9.785 5.649 3.995 Zr
6.523 3.766 2.663 Ba
```

Space group   F-43m, No. 216
ρ   2.60 g/cm3
Polymorph energy (0 for the lowest one)   0.2758 eV per atom
M_tot   3.92 μB per formula unit
Total energy   -9.235 eV/cell

This record from the Alexandria database describes a relaxed Rb2TlH6Au2 crystal. The functional is GGA-PBE.

Cell and atoms, written as POSCAR:
```
Rb2TlH6Au2
1.0
-3.572 -4.662 1.273
3.961 2.053 4.446
-6.032 3.976 -2.366
Au H Rb Tl
2 6 2 1
Cartesian
-4.521 0.440 3.113 Au
-1.123 0.926 0.239 Au
-5.398 0.718 1.669 H
-2.620 0.265 -0.388 H
-0.961 3.794 3.006 H
-3.024 1.101 3.741 H
-0.246 0.648 1.683 H
-4.683 -2.428 0.347 H
-1.883 -1.745 2.511 Rb
-3.761 3.112 0.842 Rb
-4.802 -0.343 -0.546 Tl
```

Space group   C2/m, No. 12
ρ   6.51 g/cm3
M_tot   0.00 μB per formula unit
Total energy   -30.976 eV/cell